Entry 1:
# InGa9Pd2 | the Alexandria database | PBE | relaxed
data_InGa9Pd2
_cell_length_a 8.815
_cell_length_b 8.815
_cell_length_c 8.815
_cell_angle_alpha 97.94
_cell_angle_beta 97.94
_cell_angle_gamma 136.37
_space_group_name_H-M_alt 'P 1'
_space_group_IT_number 1
loop_
_space_group_symop_operation_xyz
'x,y,z'
loop_
_atom_site_label
_atom_site_type_symbol
_atom_site_fract_x
_atom_site_fract_y
_atom_site_fract_z
In1 In 0.375 0.625 0.750
In2 In 0.625 0.375 0.250
Ga1 Ga 0.095 0.543 0.314
Ga2 Ga 0.095 0.781 0.553
Ga3 Ga 0.125 0.875 0.250
Ga4 Ga 0.219 0.272 0.314
Ga5 Ga 0.219 0.905 0.947
Ga6 Ga 0.272 0.219 0.814
Ga7 Ga 0.272 0.457 0.053
Ga8 Ga 0.457 0.272 0.553
Ga9 Ga 0.457 0.905 0.186
Ga10 Ga 0.543 0.095 0.814
Ga11 Ga 0.543 0.728 0.447
Ga12 Ga 0.728 0.543 0.947
Ga13 Ga 0.728 0.781 0.186
Ga14 Ga 0.781 0.095 0.053
Ga15 Ga 0.781 0.728 0.686
Ga16 Ga 0.875 0.125 0.750
Ga17 Ga 0.905 0.219 0.447
Ga18 Ga 0.905 0.457 0.686
Pd1 Pd 0.000 0.000 0.000
Pd2 Pd 0.000 0.000 0.500
Pd3 Pd 0.000 0.500 0.000
Pd4 Pd 0.500 0.000 0.500
# Uncorrected energy (eV/cell): -85.382
# ΔE_f (eV/atom): -0.194

Entry 2:
# Rb2Sr2N | the Alexandria database | PBE | relaxed
data_Rb2Sr2N
_cell_length_a 7.901
_cell_length_b 7.901
_cell_length_c 7.684
_cell_angle_alpha 90.00
_cell_angle_beta 90.00
_cell_angle_gamma 90.00
_space_group_name_H-M_alt 'P 1'
_space_group_IT_number 1
loop_
_space_group_symop_operation_xyz
'x,y,z'
loop_
_atom_site_label
_atom_site_type_symbol
_atom_site_fract_x
_atom_site_fract_y
_atom_site_fract_z
Rb1 Rb 0.179 0.321 0.000
Rb2 Rb 0.321 0.821 0.000
Rb3 Rb 0.679 0.179 0.000
Rb4 Rb 0.821 0.679 0.000
Sr1 Sr 0.186 0.686 0.500
Sr2 Sr 0.314 0.186 0.500
Sr3 Sr 0.686 0.814 0.500
Sr4 Sr 0.814 0.314 0.500
N1 N 0.000 0.000 0.000
N2 N 0.500 0.500 0.000
# Uncorrected energy (eV/cell): -19.056
# Uncorrected formation energy (meV per atom): 819

Entry 3:
# Pa3Ge2Se | the Alexandria database | PBE | relaxed
data_Pa3Ge2Se
_cell_length_a 7.142
_cell_length_b 7.142
_cell_length_c 7.102
_cell_angle_alpha 99.65
_cell_angle_beta 99.65
_cell_angle_gamma 120.00
_space_group_name_H-M_alt 'P 1'
_space_group_IT_number 1
loop_
_space_group_symop_operation_xyz
'x,y,z'
loop_
_atom_site_label
_atom_site_type_symbol
_atom_site_fract_x
_atom_site_fract_y
_atom_site_fract_z
Pa1 Pa 0.084 0.416 0.752
Pa2 Pa 0.248 0.248 0.247
Pa3 Pa 0.416 0.084 0.752
Pa4 Pa 0.584 0.916 0.248
Pa5 Pa 0.752 0.752 0.753
Pa6 Pa 0.916 0.584 0.248
Ge1 Ge 0.000 0.000 0.500
Ge2 Ge 0.167 0.833 0.000
Ge3 Ge 0.500 0.500 0.000
Ge4 Ge 0.833 0.167 0.000
Se1 Se 0.334 0.666 0.500
Se2 Se 0.666 0.334 0.500
# Uncorrected energy (eV/cell): -91.307
# Uncorrected formation energy (meV per atom): -741

Entry 4:
# Ti5As5Pd2 | the Alexandria database | PBE | relaxed
data_Ti5As5Pd2
_cell_length_a 6.745
_cell_length_b 6.745
_cell_length_c 6.745
_cell_angle_alpha 102.97
_cell_angle_beta 102.97
_cell_angle_gamma 123.45
_space_group_name_H-M_alt 'P 1'
_space_group_IT_number 1
loop_
_space_group_symop_operation_xyz
'x,y,z'
loop_
_atom_site_label
_atom_site_type_symbol
_atom_site_fract_x
_atom_site_fract_y
_atom_site_fract_z
Ti1 Ti 0.000 0.000 0.000
Ti2 Ti 0.374 0.374 0.597
Ti3 Ti 0.374 0.777 0.000
Ti4 Ti 0.777 0.374 0.000
Ti5 Ti 0.777 0.777 0.403
As1 As 0.157 0.877 0.280
As2 As 0.402 0.402 0.000
As3 As 0.598 0.877 0.720
As4 As 0.877 0.157 0.280
As5 As 0.877 0.598 0.720
Pd1 Pd 0.125 0.625 0.500
Pd2 Pd 0.625 0.125 0.500
# Uncorrected energy (eV/cell): -78.992
# ΔE_f (eV/atom): -0.490

Entry 5:
# Ta2TlRuAu | the Alexandria database | PBE | relaxed
data_Ta2TlRuAu
_cell_length_a 4.972
_cell_length_b 4.972
_cell_length_c 4.951
_cell_angle_alpha 90.00
_cell_angle_beta 90.00
_cell_angle_gamma 90.00
_space_group_name_H-M_alt 'P 1'
_space_group_IT_number 1
loop_
_space_group_symop_operation_xyz
'x,y,z'
loop_
_atom_site_label
_atom_site_type_symbol
_atom_site_fract_x
_atom_site_fract_y
_atom_site_fract_z
Ta1 Ta 0.000 0.500 0.000
Ta2 Ta 0.500 0.000 0.000
Tl1 Tl 0.000 0.000 0.500
Ru1 Ru 0.500 0.500 0.500
Au1 Au 0.000 0.000 0.000
# Uncorrected energy (eV/cell): -28.518
# ΔE_f (eV/atom): 2.021

Entry 6:
# MnSe2Br | the Alexandria database | PBE | relaxed
data_MnSe2Br
_cell_length_a 7.473
_cell_length_b 7.473
_cell_length_c 7.473
_cell_angle_alpha 152.48
_cell_angle_beta 142.63
_cell_angle_gamma 47.03
_space_group_name_H-M_alt 'P 1'
_space_group_IT_number 1
loop_
_space_group_symop_operation_xyz
'x,y,z'
loop_
_atom_site_label
_atom_site_type_symbol
_atom_site_fract_x
_atom_site_fract_y
_atom_site_fract_z
Mn1 Mn 0.000 0.000 0.000
Se1 Se 0.133 0.633 0.500
Se2 Se 0.563 0.563 0.000
Br1 Br 0.866 0.366 0.500
# Uncorrected energy (eV/cell): -18.729
# Uncorrected formation energy (meV per atom): -229

Entry 7:
# CeGd2Er | the Alexandria database | PBE | relaxed
data_CeGd2Er
_cell_length_a 4.985
_cell_length_b 4.985
_cell_length_c 5.037
_cell_angle_alpha 90.00
_cell_angle_beta 90.00
_cell_angle_gamma 90.00
_space_group_name_H-M_alt 'P 1'
_space_group_IT_number 1
loop_
_space_group_symop_operation_xyz
'x,y,z'
loop_
_atom_site_label
_atom_site_type_symbol
_atom_site_fract_x
_atom_site_fract_y
_atom_site_fract_z
Ce1 Ce 0.000 0.000 0.000
Gd1 Gd 0.000 0.500 0.500
Gd2 Gd 0.500 0.000 0.500
Er1 Er 0.500 0.500 0.000
# Uncorrected energy (eV/cell): -38.346
# ΔE_f (eV/atom): 0.078

Entry 8:
# CaZn2Os | the Alexandria database | PBE | relaxed
data_CaZn2Os
_cell_length_a 3.340
_cell_length_b 3.340
_cell_length_c 6.836
_cell_angle_alpha 90.00
_cell_angle_beta 90.00
_cell_angle_gamma 90.00
_space_group_name_H-M_alt 'P 1'
_space_group_IT_number 1
loop_
_space_group_symop_operation_xyz
'x,y,z'
loop_
_atom_site_label
_atom_site_type_symbol
_atom_site_fract_x
_atom_site_fract_y
_atom_site_fract_z
Ca1 Ca 0.000 0.000 0.000
Zn1 Zn 0.000 0.000 0.436
Zn2 Zn 0.500 0.500 0.663
Os1 Os 0.500 0.500 0.289
# Uncorrected energy (eV/cell): -14.945
# ΔE_f (eV/atom): 0.209

The lowest uncorrected energy belongs to which entry? Pa3Ge2Se